Density functional theory data (PBE) for an optimized crystal structure of Ca4AlCd.

Lattice parameters (Å, degrees): 3.7705 3.7705 13.4742 90.00 90.00 90.00
Last column: nearest neighbours and their distance in Å.
Fractional positions:
Ca 0.5000 0.5000 0.1354  4 Al 3.23
Ca 0.5000 0.5000 0.8646  4 Al 3.23
Ca 0.0000 0.0000 0.3567  4 Cd 3.29
Ca 0.0000 0.0000 0.6433  4 Cd 3.29
Cd 0.5000 0.5000 0.5000  8 Ca 3.29
Al 0.0000 0.0000 0.0000  8 Ca 3.23

Computed properties:
E_tot ... -2.30 eV/atom